Record 1
The following is a PBE calculation of a relaxed Ca2InAg2Pd5 crystal, from Alexandria via LeMat-Bulk.

The structure in CIF format:
```
data_Ca2InAg2Pd5
_space_group_name_H-M_alt 'P 4/m b m'
_space_group_IT_number 127
_space_group_name_Hall '-P 4 2ab'
_cell_length_a 9.729
_cell_length_b 9.729
_cell_length_c 4.091
_cell_angle_alpha 90.00
_cell_angle_beta 90.00
_cell_angle_gamma 90.00
loop_
_atom_site_label
_atom_site_fract_x
_atom_site_fract_y
_atom_site_fract_z
Ca1 0.171 0.329 0.000
In1 0.000 0.000 0.000
Ag1 0.127 0.627 0.000
Pd1 0.000 0.500 0.500
Pd2 0.062 0.802 0.500
```

Calculated values
- electronic total energy (eV per atom) = -4.302
- V (A^3/atom) = 19.36
- density of states at the Fermi level (states/eV/cell) = 5.5
- formation energy from the elements (eV/atom) = -0.46
- spin magnetization (μB/f.u.) = 0.00

Record 2
The following is a PBE calculation of a relaxed CaIn2AgPd crystal, from Alexandria via LeMat-Bulk.

The structure in CIF format:
```
data_CaIn2AgPd
_space_group_name_H-M_alt 'P 4/m m m'
_space_group_IT_number 123
_space_group_name_Hall '-P 4 2'
_cell_length_a 5.142
_cell_length_b 5.142
_cell_length_c 5.486
_cell_angle_alpha 90.00
_cell_angle_beta 90.00
_cell_angle_gamma 90.00
loop_
_atom_site_label
_atom_site_fract_x
_atom_site_fract_y
_atom_site_fract_z
Ca1 0.000 0.000 0.000
In1 0.000 0.500 0.500
Ag1 0.000 0.000 0.500
Pd1 0.500 0.500 0.000
```

Calculated values
- electronic total energy (eV per atom) = -2.869
- V (A^3/atom) = 29.00
- density of states at the Fermi level (states/eV/cell) = 2.6
- formation energy from the elements (eV/atom) = 0.24
- spin magnetization (μB/f.u.) = 0.00